Here is Na2ThOsO6 after structural relaxation from Alexandria. Energies are from GGA-PBE.

The structure in POSCAR format:
```
Na2ThOsO6
1.0
-0.459 -3.934 2.313
3.958 -2.505 -3.475
4.244 1.647 3.646
O Os Na Th
6 1 2 1
Cartesian
1.494 -2.982 1.679
-0.095 -0.816 0.480
4.029 -1.046 0.448
6.056 -3.460 1.774
3.854 -2.066 3.706
3.695 -4.376 -0.254
-0.267 -2.288 1.345
2.118 0.793 1.841
1.975 -1.283 -1.720
3.804 -2.973 1.580
```

Results
E_tot (eV per atom): -7.050
Uncorrected formation energy (eV per atom): -1.947